VASP calculation (SCAN) on a crystal of LiMnHg2 relaxed with PBEsol.

## Properties
Crystal system   tetragonal
Density of states at the Fermi level   1.19 states/eV/cell
Calculated volume   69.74 Å³/f.u.
Formation energy   -0.73 eV per formula unit

Lattice parameters (Å, degrees): 4.105 4.105 5.055 113.96 113.96 90.00
Fractional coordinates of all 4 atoms:
Hg (0.000, 0.000, 0.000)
Hg (0.750, 0.250, 0.500)
Li (0.500, 0.500, 0.000)
Mn (0.250, 0.750, 0.500)

---

VASP calculation (SCAN) on a crystal of YBeCd2 relaxed with PBEsol.

## Properties
Crystal system   monoclinic
Density of states at the Fermi level   2.23 states/eV/cell
Calculated volume   82.04 Å³/f.u.
Formation energy   0.88 eV per formula unit

Lattice parameters (Å, degrees): 3.042 5.128 6.006 113.83 102.40 95.18
Fractional coordinates of all 4 atoms:
Y (0.000, 0.500, 0.000)
Be (0.500, 0.000, 0.000)
Cd (0.000, 0.000, 0.500)
Cd (0.500, 0.500, 0.500)

---

VASP calculation (SCAN) on a crystal of Al2SbRu relaxed with PBEsol.

## Properties
Crystal system   tetragonal
Density of states at the Fermi level   4.07 states/eV/cell
E   -173.8 eV per cell
Calculated volume   75.94 Å³/f.u.

Lattice parameters (Å, degrees): 5.100 6.023 6.023 79.67 64.95 64.95
Fractional coordinates of all 8 atoms:
Sb (0.750, 0.500, 0.500)
Sb (0.000, 0.000, 0.000)
Al (0.189, 0.936, 0.436)
Al (0.561, 0.064, 0.564)
Al (0.375, 0.436, 0.064)
Al (0.875, 0.564, 0.936)
Ru (0.250, 0.500, 0.500)
Ru (0.500, 0.000, 0.000)

---

VASP calculation (SCAN) on a crystal of CrHgRu2 relaxed with PBEsol.

## Properties
Crystal system   orthorhombic
Density of states at the Fermi level   3.71 states/eV/cell
Calculated volume   57.99 Å³/f.u.
Formation energy   1.72 eV per formula unit

Lattice parameters (Å, degrees): 2.797 4.579 5.263 115.78 105.41 90.00
Fractional coordinates of all 4 atoms:
Cr (0.500, 0.000, 0.000)
Hg (0.000, 0.500, 0.000)
Ru (0.783, 0.783, 0.566)
Ru (0.217, 0.217, 0.434)

---

VASP calculation (SCAN) on a crystal of TcSI2N relaxed with PBEsol.

## Properties
Crystal system   tetragonal
Density of states at the Fermi level   4.57 states/eV/cell
E   -124.1 eV per cell
Calculated volume   106.16 Å³/f.u.

Lattice parameters (Å, degrees): 3.692 5.362 5.362 90.00 90.00 90.00
Fractional coordinates of all 5 atoms:
I (0.000, 0.000, 0.500)
I (0.000, 0.500, 0.000)
S (0.500, 0.500, 0.500)
Tc (0.000, 0.000, 0.000)
N (0.500, 0.000, 0.000)

---

VASP calculation (SCAN) on a crystal of LiSbAs relaxed with PBEsol.

## Properties
Crystal system   trigonal
Density of states at the Fermi level   1.16 states/eV/cell
E   -60.3 eV per cell
Calculated volume   66.04 Å³/f.u.

Lattice parameters (Å, degrees): 3.729 3.729 5.484 90.00 90.00 120.00
Fractional coordinates of all 3 atoms:
Sb (0.333, 0.667, 0.304)
As (0.000, 0.000, 0.001)
Li (0.667, 0.333, 0.695)

---

VASP calculation (SCAN) on a crystal of TcIrBr2 relaxed with PBEsol.

## Properties
Crystal system   tetragonal
Density of states at the Fermi level   3.06 states/eV/cell
Offset from the most stable computed form   0 meV per atom
Calculated volume   75.67 Å³/f.u.

Lattice parameters (Å, degrees): 2.998 2.998 8.417 90.00 90.00 90.00
Fractional coordinates of all 4 atoms:
Ir (0.000, 0.000, 0.541)
Tc (0.500, 0.500, 0.719)
Br (0.000, 0.000, 0.929)
Br (0.500, 0.500, 0.311)

---

VASP calculation (SCAN) on a crystal of YAsSe3 relaxed with PBEsol.

## Properties
Crystal system   cubic
Density of states at the Fermi level   3.82 states/eV/cell
E   -108.5 eV per cell
Calculated volume   151.46 Å³/f.u.

Lattice parameters (Å, degrees): 5.330 5.330 5.330 90.00 90.00 90.00
Fractional coordinates of all 5 atoms:
Y (0.000, 0.000, 0.000)
As (0.500, 0.500, 0.500)
Se (0.000, 0.500, 0.000)
Se (0.000, 0.000, 0.500)
Se (0.500, 0.000, 0.000)

---

VASP calculation (SCAN) on a crystal of TlSi2Au relaxed with PBEsol.

## Properties
Crystal system   tetragonal
Density of states at the Fermi level   1.40 states/eV/cell
Offset from the most stable computed form   486 meV per atom
Calculated volume   75.82 Å³/f.u.

Lattice parameters (Å, degrees): 4.026 4.026 4.678 90.00 90.00 90.00
Fractional coordinates of all 4 atoms:
Au (0.000, 0.000, 0.500)
Si (0.000, 0.500, 0.000)
Si (0.500, 0.000, 0.000)
Tl (0.500, 0.500, 0.500)

---

VASP calculation (SCAN) on a crystal of MnZn2Re relaxed with PBEsol.

## Properties
Crystal system   trigonal
Density of states at the Fermi level   1.93 states/eV/cell
Offset from the most stable computed form   124 meV per atom
Calculated volume   53.13 Å³/f.u.
Formation energy   0.53 eV per formula unit

Lattice parameters (Å, degrees): 2.669 2.669 8.750 81.23 81.23 60.00
Fractional coordinates of all 4 atoms:
Mn (0.502, 0.502, 0.494)
Re (0.244, 0.244, 0.269)
Zn (0.000, 0.000, 0.001)
Zn (0.755, 0.755, 0.736)

---

VASP calculation (SCAN) on a crystal of LiBe2Cd relaxed with PBEsol.

## Properties
Crystal system   tetragonal
Density of states at the Fermi level   0.85 states/eV/cell
Calculated volume   49.08 Å³/f.u.
Formation energy   0.89 eV per formula unit

Lattice parameters (Å, degrees): 3.842 3.574 3.574 90.00 90.00 90.00
Fractional coordinates of all 4 atoms:
Be (0.000, 0.000, 0.500)
Be (0.000, 0.500, 0.000)
Cd (0.500, 0.500, 0.500)
Li (0.500, 0.000, 0.000)

---

VASP calculation (SCAN) on a crystal of TlWBr2 relaxed with PBEsol.

## Properties
Crystal system   tetragonal
Density of states at the Fermi level   0.26 states/eV/cell
Offset from the most stable computed form   354 meV per atom
Calculated volume   105.25 Å³/f.u.

Lattice parameters (Å, degrees): 4.232 4.232 6.594 108.72 108.72 90.00
Fractional coordinates of all 4 atoms:
Tl (0.500, 0.500, 0.000)
Br (0.000, 0.000, 0.000)
Br (0.750, 0.250, 0.500)
W (0.250, 0.750, 0.500)

---

VASP calculation (SCAN) on a crystal of As3RuN relaxed with PBEsol.

## Properties
Crystal system   cubic
Density of states at the Fermi level   2.63 states/eV/cell
Offset from the most stable computed form   554 meV per atom
Calculated volume   100.25 Å³/f.u.

Lattice parameters (Å, degrees): 4.645 4.645 4.645 90.00 90.00 90.00
Fractional coordinates of all 5 atoms:
Ru (0.000, 0.000, 0.000)
As (0.000, 0.500, 0.000)
As (0.000, 0.000, 0.500)
As (0.500, 0.000, 0.000)
N (0.500, 0.500, 0.500)

---

VASP calculation (SCAN) on a crystal of Li2PCl relaxed with PBEsol.

## Properties
Crystal system   trigonal
Density of states at the Fermi level   0.78 states/eV/cell
Offset from the most stable computed form   0 meV per atom
Calculated volume   60.68 Å³/f.u.

Lattice parameters (Å, degrees): 3.141 3.141 7.328 77.62 77.62 60.00
Fractional coordinates of all 4 atoms:
P (0.000, 0.000, 0.000)
Li (0.761, 0.761, 0.717)
Li (0.239, 0.239, 0.283)
Cl (0.500, 0.500, 0.500)

---

VASP calculation (SCAN) on a crystal of ZrWI3 relaxed with PBEsol.

## Properties
Crystal system   cubic
Density of states at the Fermi level   2.89 states/eV/cell
E   -205.6 eV per cell
Calculated volume   176.23 Å³/f.u.

Lattice parameters (Å, degrees): 5.606 5.606 5.606 90.00 90.00 90.00
Fractional coordinates of all 5 atoms:
I (0.000, 0.500, 0.000)
I (0.000, 0.000, 0.500)
I (0.500, 0.000, 0.000)
Zr (0.000, 0.000, 0.000)
W (0.500, 0.500, 0.500)

---

VASP calculation (SCAN) on a crystal of K2Li2I relaxed with PBEsol.

## Properties
Crystal system   tetragonal
Density of states at the Fermi level   3.77 states/eV/cell
E   -119.5 eV per cell
Calculated volume   194.46 Å³/f.u.

Lattice parameters (Å, degrees): 5.932 8.097 8.097 90.00 90.00 90.00
Fractional coordinates of all 10 atoms:
I (0.000, 0.000, 0.000)
I (0.000, 0.500, 0.500)
K (0.500, 0.181, 0.681)
K (0.500, 0.681, 0.819)
K (0.500, 0.819, 0.319)
K (0.500, 0.319, 0.181)
Li (0.000, 0.371, 0.871)
Li (0.000, 0.871, 0.629)
Li (0.000, 0.629, 0.129)
Li (0.000, 0.129, 0.371)

---

VASP calculation (SCAN) on a crystal of ZrNbTlF2 relaxed with PBEsol.

## Properties
Crystal system   tetragonal
Density of states at the Fermi level   3.61 states/eV/cell
E   -148.7 eV per cell
Calculated volume   95.08 Å³/f.u.

Lattice parameters (Å, degrees): 4.155 4.155 5.506 90.00 90.00 90.00
Fractional coordinates of all 5 atoms:
Tl (0.500, 0.500, 0.500)
Nb (0.000, 0.000, 0.000)
Zr (0.000, 0.000, 0.500)
F (0.000, 0.500, 0.000)
F (0.500, 0.000, 0.000)

---

VASP calculation (SCAN) on a crystal of LiTl2In relaxed with PBEsol.

## Properties
Crystal system   monoclinic
Density of states at the Fermi level   1.67 states/eV/cell
Calculated volume   100.87 Å³/f.u.
Formation energy   -0.31 eV per formula unit

Lattice parameters (Å, degrees): 3.261 6.041 6.102 117.77 102.31 96.27
Fractional coordinates of all 4 atoms:
Tl (0.500, 0.500, 0.500)
Tl (0.000, 0.000, 0.500)
Li (0.500, 0.000, 0.000)
In (0.000, 0.500, 0.000)

---

VASP calculation (SCAN) on a crystal of CdNi2Sb relaxed with PBEsol.

## Properties
Crystal system   cubic
Density of states at the Fermi level   2.08 states/eV/cell
E   -98.5 eV per cell
Calculated volume   62.92 Å³/f.u.

Lattice parameters (Å, degrees): 4.464 4.464 4.464 60.00 60.00 60.00
Fractional coordinates of all 4 atoms:
Cd (0.500, 0.500, 0.500)
Ni (0.000, 0.000, 0.000)
Ni (0.750, 0.750, 0.750)
Sb (0.250, 0.250, 0.250)

---

VASP calculation (SCAN) on a crystal of BaSi3 relaxed with PBEsol.

## Properties
Crystal system   orthorhombic
Density of states at the Fermi level   1.25 states/eV/cell
E   -69.1 eV per cell
Calculated volume   101.21 Å³/f.u.

Lattice parameters (Å, degrees): 4.382 5.292 5.292 75.49 65.54 65.54
Fractional coordinates of all 4 atoms:
Si (0.837, 0.663, 0.663)
Si (0.500, 0.500, 0.500)
Si (0.163, 0.337, 0.337)
Ba (0.000, 0.000, 0.000)

---

VASP calculation (SCAN) on a crystal of Ta2NiOs relaxed with PBEsol.

## Properties
Crystal system   orthorhombic
Density of states at the Fermi level   3.63 states/eV/cell
Offset from the most stable computed form   169 meV per atom
Calculated volume   60.52 Å³/f.u.
Formation energy   -0.58 eV per formula unit

Lattice parameters (Å, degrees): 3.144 4.350 5.175 114.85 107.69 90.00
Fractional coordinates of all 4 atoms:
Ni (0.503, 0.503, 0.006)
Os (0.745, 0.245, 0.490)
Ta (0.004, 0.004, 0.009)
Ta (0.248, 0.748, 0.495)

---

VASP calculation (SCAN) on a crystal of K2CdAu relaxed with PBEsol.

## Properties
Crystal system   tetragonal
Density of states at the Fermi level   1.25 states/eV/cell
Calculated volume   127.66 Å³/f.u.
Formation energy   -0.82 eV per formula unit

Lattice parameters (Å, degrees): 3.945 3.953 8.186 90.00 90.00 90.00
Fractional coordinates of all 4 atoms:
K (0.000, 0.000, 0.278)
K (0.000, 0.000, 0.722)
Au (0.500, 0.500, 0.500)
Cd (0.500, 0.500, 0.000)

---

VASP calculation (SCAN) on a crystal of Zn2CoNiO relaxed with PBEsol.

## Properties
Crystal system   tetragonal
Density of states at the Fermi level   4.71 states/eV/cell
E   -61.4 eV per cell
Calculated volume   80.26 Å³/f.u.

Lattice parameters (Å, degrees): 4.125 4.411 4.411 90.00 90.00 90.00
Fractional coordinates of all 5 atoms:
Ni (0.500, 0.000, 0.000)
Zn (0.000, 0.000, 0.500)
Zn (0.000, 0.500, 0.000)
Co (0.000, 0.000, 0.000)
O (0.500, 0.500, 0.500)

---

VASP calculation (SCAN) on a crystal of Cs2AsAuBr6 relaxed with PBEsol.

## Properties
Crystal system   cubic
Density of states at the Fermi level   1.17 states/eV/cell
E   -291.9 eV per cell
Calculated volume   312.56 Å³/f.u.

Lattice parameters (Å, degrees): 7.618 7.618 7.618 60.00 60.00 60.00
Fractional coordinates of all 10 atoms:
Cs (0.750, 0.750, 0.750)
Cs (0.250, 0.250, 0.250)
As (0.000, 0.000, 0.000)
Au (0.500, 0.500, 0.500)
Br (0.753, 0.247, 0.247)
Br (0.753, 0.753, 0.247)
Br (0.247, 0.753, 0.753)
Br (0.753, 0.247, 0.753)
Br (0.247, 0.753, 0.247)
Br (0.247, 0.247, 0.753)

---

VASP calculation (SCAN) on a crystal of CoGe relaxed with PBEsol.

## Properties
Crystal system   cubic
Density of states at the Fermi level   4.21 states/eV/cell
Calculated volume   23.76 Å³/f.u.
Formation energy   -0.24 eV per formula unit

Lattice parameters (Å, degrees): 4.563 4.563 4.563 90.00 90.00 90.00
Fractional coordinates of all 8 atoms:
Co (0.139, 0.139, 0.139)
Co (0.361, 0.861, 0.639)
Co (0.639, 0.361, 0.861)
Co (0.861, 0.639, 0.361)
Ge (0.840, 0.840, 0.840)
Ge (0.660, 0.160, 0.340)
Ge (0.340, 0.660, 0.160)
Ge (0.160, 0.340, 0.660)

---

VASP calculation (SCAN) on a crystal of Li2YTe relaxed with PBEsol.

## Properties
Crystal system   tetragonal
Density of states at the Fermi level   1.43 states/eV/cell
Offset from the most stable computed form   0 meV per atom
Calculated volume   92.26 Å³/f.u.

Lattice parameters (Å, degrees): 3.901 3.901 6.062 90.00 90.00 90.00
Fractional coordinates of all 4 atoms:
Y (0.500, 0.500, 0.500)
Te (0.500, 0.500, 0.000)
Li (0.000, 0.000, 0.789)
Li (0.000, 0.000, 0.211)

---

VASP calculation (SCAN) on a crystal of KMg3N relaxed with PBEsol.

## Properties
Crystal system   cubic
Density of states at the Fermi level   3.71 states/eV/cell
E   -23.4 eV per cell
Calculated volume   308.25 Å³/f.u.

Lattice parameters (Å, degrees): 6.755 6.755 6.755 90.00 90.00 90.00
Fractional coordinates of all 5 atoms:
K (0.000, 0.000, 0.000)
Mg (0.000, 0.500, 0.000)
Mg (0.000, 0.000, 0.500)
Mg (0.500, 0.000, 0.000)
N (0.500, 0.500, 0.500)

---

VASP calculation (SCAN) on a crystal of Mn2BeNbOs relaxed with PBEsol.

## Properties
Crystal system   tetragonal
Density of states at the Fermi level   3.24 states/eV/cell
Calculated volume   64.25 Å³/f.u.
Formation energy   2.53 eV per formula unit

Lattice parameters (Å, degrees): 3.864 3.864 4.304 90.00 90.00 90.00
Fractional coordinates of all 5 atoms:
Be (0.000, 0.000, 0.000)
Nb (0.000, 0.000, 0.500)
Mn (0.000, 0.500, 0.000)
Mn (0.500, 0.000, 0.000)
Os (0.500, 0.500, 0.500)

---

VASP calculation (SCAN) on a crystal of Zn2CrIr relaxed with PBEsol.

## Properties
Crystal system   trigonal
Density of states at the Fermi level   2.73 states/eV/cell
Offset from the most stable computed form   251 meV per atom
Calculated volume   52.74 Å³/f.u.
Formation energy   0.43 eV per formula unit

Lattice parameters (Å, degrees): 2.681 2.681 8.609 81.04 81.04 60.00
Fractional coordinates of all 4 atoms:
Cr (0.500, 0.500, 0.500)
Ir (0.000, 0.000, 0.000)
Zn (0.249, 0.249, 0.254)
Zn (0.751, 0.751, 0.746)